This record from Alexandria via LeMat-Bulk describes an optimized crystal structure of Na2CeBr6. The functional is PBE.

As for the crystal system: monoclinic. For the theoretical density, the calculation gives 3.429 Mg/m³.

It has space group P2_1/c (No. 14), with a = 7.433 Å, b = 6.944 Å, c = 14.528 Å, α = 90.00°, β = 120.72° and γ = 90.00°. The distinct sites, in fractional coordinates, are Na at (0.178, 0.002, 0.179), Ce at (0.500, 0.000, 0.000), Br at (0.182, 0.733, 0.342), Br at (0.187, 0.225, 0.999) and Br at (0.499, 0.728, 0.660).

***

This record from Alexandria via LeMat-Bulk describes an optimized crystal structure of MgP. The functional is PBE.

As for the crystal system: monoclinic. As for the formation energy: -1.0 eV/f.u. The value obtained for the density of states at the Fermi level is 0.00 states/eV per atom. For the theoretical density, the calculation gives 2.242 Mg/m³. The excess energy over the best structure of this formula in the dataset is 44.2 meV/atom.

It has space group P2_1/c (No. 14), with a = 5.557 Å, b = 4.294 Å, c = 7.916 Å, α = 90.00°, β = 119.90° and γ = 90.00°. The distinct sites, in fractional coordinates, are Mg at (0.242, 0.079, 0.282) and P at (0.302, 0.593, 0.494).

***

This record from Alexandria via LeMat-Bulk describes an optimized crystal structure of PuMnTcGe2. The functional is PBE.

As for the crystal system: tetragonal. As for the formation energy: -1.4 eV/f.u. The value obtained for the density of states at the Fermi level is 2.38 states/eV per atom. For the theoretical density, the calculation gives 10.089 Mg/m³.

It has space group I-4m2 (No. 119), with a = 4.018 Å, b = 4.018 Å, c = 11.057 Å, α = 90.00°, β = 90.00° and γ = 90.00°. The distinct sites, in fractional coordinates, are Pu at (0.000, 0.000, 0.000), Mn at (0.000, 0.500, 0.250), Tc at (0.000, 0.500, 0.750) and Ge at (0.000, 0.000, 0.384).

***

This record from Alexandria via LeMat-Bulk describes an optimized crystal structure of CdClF2. The functional is PBE.

As for the crystal system: triclinic. The value obtained for the density of states at the Fermi level is 0.00 states/eV per atom. For the theoretical density, the calculation gives 3.541 Mg/m³. The excess energy over the best structure of this formula in the dataset is 0.0 meV/atom.

It has space group P-1 (No. 2), with a = 3.634 Å, b = 6.202 Å, c = 8.431 Å, α = 111.17°, β = 99.54° and γ = 90.27°. The distinct sites, in fractional coordinates, are Cd at (0.238, 0.240, 0.473), Cl at (0.057, 0.919, 0.084), F at (0.208, 0.843, 0.386) and F at (0.303, 0.631, 0.633).

***

This record from Alexandria via LeMat-Bulk describes an optimized crystal structure of BaMg4Cd2Ga. The functional is PBE.

As for the crystal system: trigonal. As for the formation energy: -1.1 eV/f.u. The value obtained for the density of states at the Fermi level is 0.46 states/eV per atom. For the theoretical density, the calculation gives 4.146 Mg/m³.

It has space group R-3m (No. 166, hexagonal axes), with a = 4.9046 Å, b = 4.9046 Å, c = 30.5127 Å, α = 90.00°, β = 90.00° and γ = 120.00°. The distinct sites, in fractional coordinates, are Ba at (0.0000, 0.0000, 0.0000), Mg at (0.0000, 0.0000, 0.1354), Mg at (0.0000, 0.0000, 0.4098), Cd at (0.0000, 0.0000, 0.2441) and Ga at (0.0000, 0.0000, 0.5000).

***

This record from Alexandria via LeMat-Bulk describes an optimized crystal structure of Cu3SiGe. The functional is PBE.

As for the crystal system: cubic. The value obtained for the density of states at the Fermi level is 0.28 states/eV per atom. For the theoretical density, the calculation gives 5.607 Mg/m³. The excess energy over the best structure of this formula in the dataset is 0.0 meV/atom.

It has space group Pm-3m (No. 221), with a = 4.419 Å, b = 4.419 Å, c = 4.419 Å, α = 90.00°, β = 90.00° and γ = 90.00°. The distinct sites, in fractional coordinates, are Cu at (0.000, 0.000, 0.500), Si at (0.000, 0.000, 0.000) and Ge at (0.500, 0.500, 0.500).

***

This record from Alexandria via LeMat-Bulk describes an optimized crystal structure of ErNi12B5. The functional is PBE.

As for the crystal system: orthorhombic. As for the formation energy: -3.3 eV/f.u. The value obtained for the density of states at the Fermi level is 0.48 states/eV per atom. For the theoretical density, the calculation gives 8.454 Mg/m³.

It has space group Immm (No. 71), with a = 6.840 Å, b = 6.853 Å, c = 7.756 Å, α = 90.00°, β = 90.00° and γ = 90.00°. The distinct sites, in fractional coordinates, are Er at (0.000, 0.000, 0.000), Ni at (0.000, 0.320, 0.185), Ni at (0.178, 0.278, 0.500), Ni at (0.184, 0.000, 0.290), B at (0.000, 0.000, 0.500), B at (0.000, 0.500, 0.388) and B at (0.138, 0.500, 0.000).

***

This record from Alexandria via LeMat-Bulk describes an optimized crystal structure of KMg3S. The functional is PBE.

As for the crystal system: cubic. The value obtained for the density of states at the Fermi level is 1.74 states/eV per atom. For the theoretical density, the calculation gives 0.887 Mg/m³. The excess energy over the best structure of this formula in the dataset is 1110.7 meV/atom.

It has space group Pm-3m (No. 221), with a = 6.461 Å, b = 6.461 Å, c = 6.461 Å, α = 90.00°, β = 90.00° and γ = 90.00°. The distinct sites, in fractional coordinates, are K at (0.000, 0.000, 0.000), Mg at (0.000, 0.000, 0.500) and S at (0.500, 0.500, 0.500).

***

This record from Alexandria via LeMat-Bulk describes an optimized crystal structure of TlTe2IN. The functional is PBE.

As for the crystal system: tetragonal. The value obtained for the density of states at the Fermi level is 1.03 states/eV per atom. For the theoretical density, the calculation gives 6.329 Mg/m³. The excess energy over the best structure of this formula in the dataset is 554.1 meV/atom.

It has space group P4/mmm (No. 123), with a = 6.075 Å, b = 6.075 Å, c = 4.269 Å, α = 90.00°, β = 90.00° and γ = 90.00°. The distinct sites, in fractional coordinates, are Tl at (0.000, 0.000, 0.000), Te at (0.000, 0.500, 0.000), I at (0.500, 0.500, 0.500) and N at (0.000, 0.000, 0.500).

***

This record from Alexandria via LeMat-Bulk describes an optimized crystal structure of AcSm12Dy5. The functional is PBE.

As for the crystal system: orthorhombic. As for the formation energy: 0.4 eV/f.u. The value obtained for the density of states at the Fermi level is 1.47 states/eV per atom. For the theoretical density, the calculation gives 7.797 Mg/m³.

It has space group Cmmm (No. 65), with a = 15.378 Å, b = 15.385 Å, c = 5.120 Å, α = 90.00°, β = 90.00° and γ = 90.00°. The distinct sites, in fractional coordinates, are Ac at (0.000, 0.000, 0.000), Sm at (0.165, 0.334, 0.500), Sm at (0.165, 0.500, 0.000), Sm at (0.168, 0.169, 0.000), Sm at (0.171, 0.000, 0.500), Dy at (0.000, 0.171, 0.500), Dy at (0.000, 0.334, 0.000) and Dy at (0.000, 0.500, 0.500).

***

This record from Alexandria via LeMat-Bulk describes an optimized crystal structure of Ni3H4. The functional is PBE.

As for the crystal system: trigonal. The value obtained for the density of states at the Fermi level is 0.73 states/eV per atom. For the theoretical density, the calculation gives 6.461 Mg/m³. The excess energy over the best structure of this formula in the dataset is 56.7 meV/atom.

It has space group R-3m (No. 166, hexagonal axes), with a = 5.0750 Å, b = 5.0750 Å, c = 12.4527 Å, α = 90.00°, β = 90.00° and γ = 120.00°. The distinct sites, in fractional coordinates, are Ni at (0.0000, 0.0000, 0.0000), Ni at (0.0000, 0.0000, 0.3746), Ni at (0.0000, 0.5000, 0.5000), H at (0.0000, 0.0000, 0.2396) and H at (0.0273, 0.5137, 0.7534).

***

This record from Alexandria via LeMat-Bulk describes an optimized crystal structure of ScNbTeN2. The functional is PBE.

As for the crystal system: tetragonal. The value obtained for the density of states at the Fermi level is 1.62 states/eV per atom. For the theoretical density, the calculation gives 5.222 Mg/m³. The excess energy over the best structure of this formula in the dataset is 913.2 meV/atom.

It has space group P4/mmm (No. 123), with a = 4.091 Å, b = 4.091 Å, c = 5.575 Å, α = 90.00°, β = 90.00° and γ = 90.00°. The distinct sites, in fractional coordinates, are Sc at (0.000, 0.000, 0.000), Nb at (0.500, 0.500, 0.500), Te at (0.000, 0.000, 0.500) and N at (0.000, 0.500, 0.000).

***

Total DFT energy (no corrections) (computed, eV per atom): -3.646; -3.978; -8.910; -3.215; -1.780; -3.961; -6.144; -0.888; -2.545; -4.628; -4.372; -6.382